# 1
Density functional theory data (PBE-GGA) for a geometry-optimized DyBeAl3 structure.

Computed properties:
E_form in eV per atom: -0.3114
DFT total energy in eV for the cell shown: -21.113
Space-group type: No. 107

```
DyBeAl3
1.0
-2.023 2.023 5.349
2.023 -2.023 5.349
2.023 2.023 -5.349
Dy Be Al
1 1 3
direct
0.000 0.000 0.000
0.391 0.391 0.000
0.266 0.766 0.500
0.605 0.605 0.000
0.766 0.266 0.500
```

***

# 2
Density functional theory data (PBE-GGA) for a geometry-optimized Dy2BeAl structure.

Computed properties:
E_form in eV per atom: 0.5826
DFT total energy in eV for the cell shown: -14.342
Space-group type: No. 166
Offset from the most stable computed form in meV per atom: 744

```
Dy2BeAl
1.0
1.681 0.971 10.446
-1.681 0.971 10.446
0.000 -1.941 10.446
Dy Be Al
2 1 1
direct
0.093 0.093 0.093
0.907 0.907 0.907
0.000 0.000 0.000
0.500 0.500 0.500
```

***

# 3
Density functional theory data (PBE-GGA) for a geometry-optimized DyBeAl2 structure.

Computed properties:
E_form in eV per atom: 0.2550
DFT total energy in eV for the cell shown: -14.794
Space-group type: No. 166

```
DyBeAl2
1.0
1.517 0.876 9.276
-1.517 0.876 9.276
0.000 -1.751 9.276
Dy Be Al
1 1 2
direct
0.000 0.000 0.000
0.500 0.500 0.500
0.236 0.236 0.236
0.764 0.764 0.764
```

***

# 4
Density functional theory data (PBE-GGA) for a geometry-optimized DyErBeAl structure.

Computed properties:
E_form in eV per atom: -0.1352
DFT total energy in eV for the cell shown: -17.174
Space-group type: No. 216

```
DyErBeAl
1.0
0.000 3.505 3.505
3.505 0.000 3.505
3.505 3.505 0.000
Dy Er Be Al
1 1 1 1
direct
0.000 0.000 0.000
0.500 0.500 0.500
0.750 0.750 0.750
0.250 0.250 0.250
```